Below is an optimized crystal structure of YMgCd, with properties calculated at the GGA-PBE level.

The space group is F-43m (No. 216) and the conventional cell measures 7.1902, 7.1902 and 7.1902 Å, with angles of 90.00, 90.00 and 90.00 degrees. Symmetry generates all atoms from Y at (0.0000, 0.0000, 0.0000), Mg at (0.2500, 0.2500, 0.2500) and Cd at (0.2500, 0.2500, 0.7500).

The raw total energy comes out at -2.66 eV per atom. The calculated formation energy comes out at 333 meV/atom.